Computed, not measured: a relaxed structure of ZnRh3 at the PBE-GGA level of DFT.

```
4
Lattice="2.7653 0.0000 0.0000 0.0000 2.7653 0.0000 0.0000 0.0000 7.3617" Properties=species:S:1:pos:R:3 pbc="T T T"
Zn 1.3827 1.3827 5.5213
Rh 0.0000 0.0000 7.3505
Rh 0.0000 0.0000 3.6921
Rh 1.3827 1.3827 1.8404
```

Output
The density of states at the Fermi level is 4.6 states/eV per cell. The calculation puts the volume at 14.1 A^3/atom. As for the energy of formation from the pure elements: -0.1355 eV per atom. The symmetry is P4/mmm (123). As for the total DFT energy (no corrections): -5.968 eV/atom. The total magnetization is 0.00 μB per formula unit. As for the crystal system: tetragonal.